The following is a DFT calculation (GGA-PBE) of crystalline HgWAu4 at its relaxed geometry.

Calculated values
E_tot: -3.68 eV per atom
ΔE_f: 0.7096 eV/atom
calculated volume: 19.46 Å³ per atom
space-group type: F-43m (216)

Unit cell a=5.486 b=5.486 c=5.486 alpha=60.00 beta=60.00 gamma=60.00
Fractional coordinates of all 6 atoms:
Hg: 0.000 0.000 0.000
W: 0.750 0.750 0.750
Au: 0.375 0.375 0.375
Au: 0.375 0.375 0.874
Au: 0.375 0.874 0.375
Au: 0.874 0.375 0.375